(1)
# TaTc3H PBE-GGA relaxed
data_TaTc3H
_space_group_name_H-M_alt 'P m -3 m'
_space_group_IT_number 221
_space_group_name_Hall '-P 4 2 3'
_cell_length_a 3.995
_cell_length_b 3.995
_cell_length_c 3.995
_cell_angle_alpha 90.00
_cell_angle_beta 90.00
_cell_angle_gamma 90.00
loop_
_atom_site_label
_atom_site_fract_x
_atom_site_fract_y
_atom_site_fract_z
Ta1 0.000 0.000 0.000
Tc1 0.000 0.500 0.500
H1 0.500 0.500 0.500
# VASP energy: -9.284 eV/atom
# energy above the most stable polymorph in this dataset: 0.000 eV/f.u.

(2)
# TaTc2H2 PBE-GGA relaxed
data_TaTc2H2
_space_group_name_H-M_alt 'I 4/m m m'
_space_group_IT_number 139
_space_group_name_Hall '-I 4 2'
_cell_length_a 3.182
_cell_length_b 3.182
_cell_length_c 10.596
_cell_angle_alpha 90.00
_cell_angle_beta 90.00
_cell_angle_gamma 90.00
loop_
_atom_site_label
_atom_site_fract_x
_atom_site_fract_y
_atom_site_fract_z
Ta1 0.000 0.000 0.000
Tc1 0.000 0.000 0.355
H1 0.000 0.500 0.250
# VASP energy: -7.852 eV/atom
# energy above the most stable polymorph in this dataset: 0.000 eV/f.u.